[1]
AcLaCe2: relaxed, PBE.

Calculated values
Its total moment is 2.1 μB per formula unit. For the formation energy, the calculation gives 147 meV/atom. As for the crystal system: tetragonal.

The structure in CIF format:
```
data_AcLaCe2
_chemical_formula_sum 'Ac1 La1 Ce2'
_symmetry_space_group_name_H-M 'P 4/m m m'
_symmetry_Int_Tables_number 123
_symmetry_space_group_name_Hall '-P 4 2'
_cell_length_a 3.639
_cell_length_b 3.639
_cell_length_c 10.308
_cell_angle_alpha 90.00
_cell_angle_beta 90.00
_cell_angle_gamma 90.00
loop_
_atom_site_label
_atom_site_fract_x
_atom_site_fract_y
_atom_site_fract_z
_atom_site_occupancy
Ac1 0.000 0.000 0.000 1
La1 0.000 0.000 0.500 1
Ce1 0.500 0.500 0.259 1
```

=====

[2]
AcLa2Ce: relaxed, PBE.

Calculated values
Its total moment is 3.3 μB per formula unit. For the formation energy, the calculation gives 220 meV/atom. As for the crystal system: cubic.

The structure in CIF format:
```
data_AcLa2Ce
_chemical_formula_sum 'Ac4 La8 Ce4'
_symmetry_space_group_name_H-M 'F m -3 m'
_symmetry_Int_Tables_number 225
_symmetry_space_group_name_Hall '-F 4 2 3'
_cell_length_a 8.489
_cell_length_b 8.489
_cell_length_c 8.489
_cell_angle_alpha 90.00
_cell_angle_beta 90.00
_cell_angle_gamma 90.00
loop_
_atom_site_label
_atom_site_fract_x
_atom_site_fract_y
_atom_site_fract_z
_atom_site_occupancy
Ac1 0.000 0.000 0.000 1
La1 0.250 0.250 0.250 1
Ce1 0.000 0.000 0.500 1
```

=====

[3]
AcLaCe4: relaxed, PBE.

Calculated values
Its total moment is 4.0 μB per formula unit. For the formation energy, the calculation gives 185 meV/atom. As for the crystal system: cubic.

The structure in CIF format:
```
data_AcLaCe4
_chemical_formula_sum 'Ac4 La4 Ce16'
_symmetry_space_group_name_H-M 'F -4 3 m'
_symmetry_Int_Tables_number 216
_symmetry_space_group_name_Hall 'F -4 2 3'
_cell_length_a 9.143
_cell_length_b 9.143
_cell_length_c 9.143
_cell_angle_alpha 90.00
_cell_angle_beta 90.00
_cell_angle_gamma 90.00
loop_
_atom_site_label
_atom_site_fract_x
_atom_site_fract_y
_atom_site_fract_z
_atom_site_occupancy
Ac1 0.000 0.000 0.000 1
La1 0.250 0.250 0.250 1
Ce1 0.121 0.121 0.621 1
```

=====

[4]
AcLaCe: relaxed, PBE.

Calculated values
Its total moment is 0.4 μB per formula unit. For the formation energy, the calculation gives 98 meV/atom. As for the crystal system: tetragonal.

The structure in CIF format:
```
data_AcLaCe
_chemical_formula_sum 'Ac2 La2 Ce2'
_symmetry_space_group_name_H-M 'I 4 m m'
_symmetry_Int_Tables_number 107
_symmetry_space_group_name_Hall 'I 4 -2'
_cell_length_a 3.697
_cell_length_b 3.697
_cell_length_c 15.832
_cell_angle_alpha 90.00
_cell_angle_beta 90.00
_cell_angle_gamma 90.00
loop_
_atom_site_label
_atom_site_fract_x
_atom_site_fract_y
_atom_site_fract_z
_atom_site_occupancy
Ac1 0.000 0.000 0.000 1
La1 0.000 0.000 0.310 1
Ce1 0.000 0.000 0.661 1
```

=====

[5]
AcLa2Ce: relaxed, PBE.

Calculated values
Its total moment is 1.2 μB per formula unit. For the formation energy, the calculation gives 87 meV/atom. As for the crystal system: tetragonal.

The structure in CIF format:
```
data_AcLa2Ce
_chemical_formula_sum 'Ac1 La2 Ce1'
_symmetry_space_group_name_H-M 'P 4/m m m'
_symmetry_Int_Tables_number 123
_symmetry_space_group_name_Hall '-P 4 2'
_cell_length_a 5.254
_cell_length_b 5.254
_cell_length_c 5.282
_cell_angle_alpha 90.00
_cell_angle_beta 90.00
_cell_angle_gamma 90.00
loop_
_atom_site_label
_atom_site_fract_x
_atom_site_fract_y
_atom_site_fract_z
_atom_site_occupancy
Ac1 0.000 0.000 0.000 1
La1 0.000 0.500 0.500 1
Ce1 0.500 0.500 0.000 1
```

=====

[6]
AcLaCe2: relaxed, PBE.

Calculated values
Its total moment is 1.5 μB per formula unit. For the formation energy, the calculation gives 138 meV/atom. As for the crystal system: tetragonal.

The structure in CIF format:
```
data_AcLaCe2
_chemical_formula_sum 'Ac1 La1 Ce2'
_symmetry_space_group_name_H-M 'P 4/m m m'
_symmetry_Int_Tables_number 123
_symmetry_space_group_name_Hall '-P 4 2'
_cell_length_a 5.118
_cell_length_b 5.118
_cell_length_c 5.151
_cell_angle_alpha 90.00
_cell_angle_beta 90.00
_cell_angle_gamma 90.00
loop_
_atom_site_label
_atom_site_fract_x
_atom_site_fract_y
_atom_site_fract_z
_atom_site_occupancy
Ac1 0.000 0.000 0.000 1
La1 0.500 0.500 0.000 1
Ce1 0.000 0.500 0.500 1
```

=====

[7]
AcLaCe: relaxed, PBE.

Calculated values
Its total moment is 0.2 μB per formula unit. For the formation energy, the calculation gives 221 meV/atom. As for the crystal system: tetragonal.

The structure in CIF format:
```
data_AcLaCe
_chemical_formula_sum 'Ac4 La4 Ce4'
_symmetry_space_group_name_H-M 'I 4/m m m'
_symmetry_Int_Tables_number 139
_symmetry_space_group_name_Hall '-I 4 2'
_cell_length_a 5.050
_cell_length_b 5.050
_cell_length_c 17.491
_cell_angle_alpha 90.00
_cell_angle_beta 90.00
_cell_angle_gamma 90.00
loop_
_atom_site_label
_atom_site_fract_x
_atom_site_fract_y
_atom_site_fract_z
_atom_site_occupancy
Ac1 0.000 0.000 0.153 1
La1 0.000 0.000 0.365 1
Ce1 0.000 0.500 0.000 1
```

=====

[8]
AcLa2Ce: relaxed, PBE.

Calculated values
Its total moment is 0.0 μB per formula unit. For the formation energy, the calculation gives 564 meV/atom. As for the crystal system: trigonal.

The structure in CIF format:
```
data_AcLa2Ce
_chemical_formula_sum 'Ac3 La6 Ce3'
_symmetry_space_group_name_H-M 'R -3 m'
_symmetry_Int_Tables_number 166
_symmetry_space_group_name_Hall '-R 3 2"'
_cell_length_a 4.1060
_cell_length_b 4.1060
_cell_length_c 31.4892
_cell_angle_alpha 90.00
_cell_angle_beta 90.00
_cell_angle_gamma 120.00
loop_
_atom_site_label
_atom_site_fract_x
_atom_site_fract_y
_atom_site_fract_z
_atom_site_occupancy
Ac1 0.0000 0.0000 0.0000 1
La1 0.0000 0.0000 0.1151 1
Ce1 0.0000 0.0000 0.5000 1
```

=====

[9]
AcLaCe: relaxed, PBE.

Calculated values
Its total moment is 1.2 μB per formula unit. For the formation energy, the calculation gives 186 meV/atom. As for the crystal system: hexagonal.

The structure in CIF format:
```
data_AcLaCe
_chemical_formula_sum 'Ac1 La1 Ce1'
_symmetry_space_group_name_H-M 'P -6 m 2'
_symmetry_Int_Tables_number 187
_symmetry_space_group_name_Hall 'P -6 2'
_cell_length_a 5.9712
_cell_length_b 5.9712
_cell_length_c 3.6489
_cell_angle_alpha 90.00
_cell_angle_beta 90.00
_cell_angle_gamma 120.00
loop_
_atom_site_label
_atom_site_fract_x
_atom_site_fract_y
_atom_site_fract_z
_atom_site_occupancy
Ac1 0.0000 0.0000 0.0000 1
La1 0.6667 0.3333 0.5000 1
Ce1 0.3333 0.6667 0.0000 1
```

=====

[10]
Ac2La7Ce: relaxed, PBE.

Calculated values
Its total moment is 1.4 μB per formula unit. For the formation energy, the calculation gives 397 meV/atom. As for the crystal system: orthorhombic.

The structure in CIF format:
```
data_Ac2La7Ce
_chemical_formula_sum 'Ac4 La14 Ce2'
_symmetry_space_group_name_H-M 'C m m m'
_symmetry_Int_Tables_number 65
_symmetry_space_group_name_Hall '-C 2 2'
_cell_length_a 12.636
_cell_length_b 17.710
_cell_length_c 3.611
_cell_angle_alpha 90.00
_cell_angle_beta 90.00
_cell_angle_gamma 90.00
loop_
_atom_site_label
_atom_site_fract_x
_atom_site_fract_y
_atom_site_fract_z
_atom_site_occupancy
Ac1 0.000 0.170 0.000 1
La1 0.000 0.335 0.500 1
La2 0.000 0.500 0.000 1
La3 0.239 0.377 0.000 1
Ce1 0.000 0.000 0.500 1
```

=====

[11]
AcLaCe2: relaxed, PBE.

Calculated values
Its total moment is 1.9 μB per formula unit. For the formation energy, the calculation gives 163 meV/atom. As for the crystal system: trigonal.

The structure in CIF format:
```
data_AcLaCe2
_chemical_formula_sum 'Ac3 La3 Ce6'
_symmetry_space_group_name_H-M 'R 3 m'
_symmetry_Int_Tables_number 160
_symmetry_space_group_name_Hall 'R 3 -2"'
_cell_length_a 3.6726
_cell_length_b 3.6726
_cell_length_c 35.6662
_cell_angle_alpha 90.00
_cell_angle_beta 90.00
_cell_angle_gamma 120.00
loop_
_atom_site_label
_atom_site_fract_x
_atom_site_fract_y
_atom_site_fract_z
_atom_site_occupancy
Ac1 0.0000 0.0000 0.0000 1
La1 0.0000 0.0000 0.8319 1
Ce1 0.0000 0.0000 0.4167 1
Ce2 0.0000 0.0000 0.5812 1
```

=====

[12]
AcLaCe2: relaxed, PBE.

Calculated values
Its total moment is 4.4 μB per formula unit. For the formation energy, the calculation gives 287 meV/atom. As for the crystal system: cubic.

The structure in CIF format:
```
data_AcLaCe2
_chemical_formula_sum 'Ac4 La4 Ce8'
_symmetry_space_group_name_H-M 'F m -3 m'
_symmetry_Int_Tables_number 225
_symmetry_space_group_name_Hall '-F 4 2 3'
_cell_length_a 8.329
_cell_length_b 8.329
_cell_length_c 8.329
_cell_angle_alpha 90.00
_cell_angle_beta 90.00
_cell_angle_gamma 90.00
loop_
_atom_site_label
_atom_site_fract_x
_atom_site_fract_y
_atom_site_fract_z
_atom_site_occupancy
Ac1 0.000 0.000 0.000 1
La1 0.000 0.000 0.500 1
Ce1 0.250 0.250 0.250 1
```

=====

[13]
LiAcLaCe: relaxed, PBE.

Calculated values
Its total moment is 1.9 μB per formula unit. For the formation energy, the calculation gives 256 meV/atom. As for the crystal system: cubic.

The structure in CIF format:
```
data_LiAcLaCe
_chemical_formula_sum 'Li4 Ac4 La4 Ce4'
_symmetry_space_group_name_H-M 'F -4 3 m'
_symmetry_Int_Tables_number 216
_symmetry_space_group_name_Hall 'F -4 2 3'
_cell_length_a 8.025
_cell_length_b 8.025
_cell_length_c 8.025
_cell_angle_alpha 90.00
_cell_angle_beta 90.00
_cell_angle_gamma 90.00
loop_
_atom_site_label
_atom_site_fract_x
_atom_site_fract_y
_atom_site_fract_z
_atom_site_occupancy
Li1 0.000 0.000 0.000 1
Ac1 0.250 0.250 0.750 1
La1 0.250 0.250 0.250 1
Ce1 0.000 0.000 0.500 1
```